Compound: CaCePr
Source: Alexandria via LeMat-Bulk
Functional: GGA-PBE
Structure: relaxed

Lattice parameters (Å, degrees): 3.656 3.656 9.227 90.00 90.00 120.00
Site moments in Bohr magnetons follow the coordinates.
Element x y z (fractional)
Pr (0.333, 0.667, 0.653)  -0.01
Ca (0.000, 0.000, 0.004)  0.02
Ce (0.667, 0.333, 0.343)  0.86

Values from the calculation:
ΔE to the lowest computed polymorph = 21.0 meV per atom
formation energy = 0.403 eV/f.u.
calculated volume = 35.605 Å³ per atom
crystal system = trigonal
electronic total energy = -4.104 eV/atom